[1]
Compound: Li2NiW
Source: Alexandria
Functional: GGA-PBE
Structure: optimized geometry

Calculated values
SG = Fm-3m
energy of formation = 848 meV per atom
energy relative to the lowest polymorph listed for this composition = 648 meV/atom
DFT total energy = -4.792 eV per atom

Lattice parameters (Å, degrees): 4.0937 4.0937 4.0937 60.00 60.00 60.00
Last column: nearest neighbours and their distance in Å.
Element x y z (fractional)
Li  0.2500  0.2500  0.2500  4 W 2.51, 4 Ni 2.51
Li  0.7500  0.7500  0.7500  4 W 2.51, 4 Ni 2.51
Ni  0.0000  0.0000  0.0000  8 Li 2.51
W  0.5000  0.5000  0.5000  8 Li 2.51


[2]
Compound: LiNiW2
Source: Alexandria
Functional: GGA-PBE
Structure: optimized geometry

Calculated values
SG = Pmmm
energy of formation = 365 meV per atom
energy relative to the lowest polymorph listed for this composition = 159 meV/atom
DFT total energy = -8.035 eV per atom

Lattice parameters (Å, degrees): 3.0298 4.2425 4.3930 90.00 90.00 90.00
Last column: nearest neighbours and their distance in Å.
Element x y z (fractional)
Li  0.0000  0.0000  0.0000  4 Ni 2.61, 4 W 2.67
Ni  0.5000  0.5000  0.0000  4 Li 2.61, 4 W 2.67
W  0.0000  0.5000  0.5000  4 W 2.61, 4 Ni 2.67
W  0.5000  0.0000  0.5000  4 W 2.61, 4 Li 2.67


[3]
Compound: LiNiW2
Source: Alexandria
Functional: GGA-PBE
Structure: optimized geometry

Calculated values
SG = P4/mmm
energy of formation = 528 meV per atom
energy relative to the lowest polymorph listed for this composition = 322 meV/atom
DFT total energy = -7.872 eV per atom

Lattice parameters (Å, degrees): 3.2669 3.2669 5.1545 90.00 90.00 90.00
Last column: nearest neighbours and their distance in Å.
Element x y z (fractional)
Li  0.0000  0.0000  0.0000  2 Ni 2.58, 8 W 2.68
Ni  0.0000  0.0000  0.5000  2 Li 2.58, 8 W 2.62
W  0.5000  0.5000  0.2622  2 W 2.45-2.70, 4 Ni 2.62, 4 Li 2.68
W  0.5000  0.5000  0.7378  2 W 2.45-2.70, 4 Ni 2.62, 4 Li 2.68


Question: Which formula does entry 3 have?
Answer: LiNiW2


Question: Which of these has the highest energy of formation?
Answer: Li2NiW


Question: Which of these has the highest energy relative to the lowest polymorph listed for this composition?
Answer: Li2NiW